1.
Here is ThMg2Zn2Os after structural relaxation from the Alexandria database. Energies are from PBE-GGA.

Cell and atoms, written as POSCAR:
```
ThMg2Zn2Os
1.0
3.962 0.000 0.000
0.000 3.962 0.000
0.000 0.000 20.766
Th Mg Zn Os
2 4 4 2
Direct
0.000 0.000 0.000 Th
0.500 0.500 0.500 Th
0.000 0.500 0.250 Mg
0.000 0.500 0.750 Mg
0.500 0.000 0.250 Mg
0.500 0.000 0.750 Mg
0.000 0.000 0.149 Zn
0.000 0.000 0.851 Zn
0.500 0.500 0.351 Zn
0.500 0.500 0.649 Zn
0.000 0.000 0.500 Os
0.500 0.500 0.000 Os
```

Computed properties:
The value obtained for the total magnetic moment is 0.396 μB per cell. Its formation enthalpy at 0 K is 363 kJ/mol of formula units. Its symmetry is I4/mmm (139).


2.
Here is H2Pd2Rh after structural relaxation from the Alexandria database. Energies are from PBE-GGA.

Cell and atoms, written as POSCAR:
```
H2Pd2Rh
1.0
4.053 0.000 0.000
0.000 4.053 0.000
0.000 0.000 7.159
H Pd Rh
4 4 2
Direct
0.000 0.000 0.246 H
0.000 0.000 0.754 H
0.500 0.500 0.254 H
0.500 0.500 0.746 H
0.000 0.500 0.250 Pd
0.000 0.500 0.750 Pd
0.500 0.000 0.250 Pd
0.500 0.000 0.750 Pd
0.000 0.000 0.500 Rh
0.500 0.500 0.000 Rh
```

Computed properties:
The value obtained for the total magnetic moment is 0.000 μB per cell. As for the electronic total energy: -4.6359 eV/atom. Its symmetry is I4/mmm (139).


3.
Here is YAgH3 after structural relaxation from the Alexandria database. Energies are from PBE-GGA.

Cell and atoms, written as POSCAR:
```
YAgH3
1.0
4.104 0.000 0.000
0.000 4.104 0.000
0.000 0.000 4.104
Y Ag H
1 1 3
Direct
0.000 0.000 0.000 Y
0.500 0.500 0.500 Ag
0.000 0.000 0.500 H
0.000 0.500 0.000 H
0.500 0.000 0.000 H
```

Computed properties:
The value obtained for the total magnetic moment is 0.000 μB per cell. As for the electronic total energy: -3.8824 eV/atom. Its symmetry is Pm-3m (221).


4.
Here is Rb2ZnIn4Pb3 after structural relaxation from the Alexandria database. Energies are from PBE-GGA.

Cell and atoms, written as POSCAR:
```
Rb2ZnIn4Pb3
1.0
5.201 0.000 0.000
0.000 5.201 0.000
0.000 0.000 12.590
Rb Zn In Pb
2 1 4 3
Direct
0.000 0.500 0.247 Rb
0.500 0.000 0.753 Rb
0.500 0.500 0.000 Zn
0.000 0.000 0.500 In
0.000 0.500 0.879 In
0.500 0.000 0.121 In
0.500 0.500 0.500 In
0.000 0.000 0.000 Pb
0.000 0.500 0.637 Pb
0.500 0.000 0.363 Pb
```

Computed properties:
The value obtained for the total magnetic moment is 0.000 μB per cell. Its formation enthalpy at 0 K is -57 kJ/mol of formula units. Its symmetry is P-4m2 (115).